No. 1
Sc2HgPd: optimized geometry, PBE.

Cell lengths 9.1884, 9.1884, 9.1884 Å; angles 23.47, 23.47, 23.47 degrees
With the nearest neighbours (Å) after each atom.
Atoms (fractional coordinates):
Sc: 0.1105 0.1105 0.1105  3 Pd 2.63
Sc: 0.8895 0.8895 0.8895  3 Pd 2.63
Hg: 0.0000 0.0000 0.0000  2 Sc 2.96
Pd: 0.5000 0.5000 0.5000  6 Sc 2.63

## Properties
Raw total energy = -4.729 eV per atom
Total magnetic moment = 0.000 μB/cell
ΔE_f = -0.190 eV per atom
Space group = R-3m

No. 2
CaPr5Se8: optimized geometry, PBE.

Cell lengths 7.7981, 7.7981, 7.7981 Å; angles 109.67, 109.67, 109.07 degrees
With the nearest neighbours (Å) after each atom.
Atoms (fractional coordinates):
Ca: 0.0000 0.0000 0.0000  8 Se 2.99-3.26
Pr: 0.2487 0.6224 0.1273  8 Se 3.03-3.23
Pr: 0.3776 0.5049 0.6263  8 Se 3.03-3.23
Pr: 0.4951 0.1214 0.8727  8 Se 3.03-3.23
Pr: 0.7500 0.2500 0.5000  8 Se 3.02-3.20
Pr: 0.8786 0.7513 0.3737  8 Se 3.03-3.23
Se: 0.1201 0.7259 0.7511  1 Ca 2.99, 5 Pr 3.03-3.23
Se: 0.1282 0.2292 0.7473  5 Pr 3.02-3.21, 1 Ca 3.26
Se: 0.2741 0.0252 0.3942  1 Ca 2.99, 5 Pr 3.03-3.23
Se: 0.4819 0.3809 0.2527  5 Pr 3.02-3.21, 1 Ca 3.26
Se: 0.6191 0.8718 0.1010  5 Pr 3.02-3.21, 1 Ca 3.26
Se: 0.6310 0.8799 0.6058  1 Ca 2.99, 5 Pr 3.03-3.23
Se: 0.7708 0.5181 0.8990  5 Pr 3.02-3.21, 1 Ca 3.26
Se: 0.9748 0.3690 0.2489  1 Ca 2.99, 5 Pr 3.03-3.23

## Properties
Raw total energy = -5.737 eV per atom
Formation energy (no corrections) = -1.896 eV/atom
Total magnetic moment = 0.000 μB/cell
Space group = I-4

No. 3
LiSmTeSe: optimized geometry, PBE.

Cell lengths 7.2454, 7.2454, 7.2454 Å; angles 34.40, 34.40, 34.40 degrees
With the nearest neighbours (Å) after each atom.
Atoms (fractional coordinates):
Li: 0.0000 0.0000 0.0000  3 Se 2.96, 3 Te 2.98
Sm: 0.4903 0.4903 0.4903  3 Se 2.93, 3 Te 3.14
Te: 0.2516 0.2516 0.2516  3 Li 2.98, 3 Sm 3.14
Se: 0.7466 0.7466 0.7466  3 Sm 2.93, 3 Li 2.96

## Properties
Raw total energy = -4.792 eV per atom
Formation energy (no corrections) = -1.477 eV/atom
Total magnetic moment = 0.000 μB/cell
Space group = R3m